No. 1
This record from Alexandria via LeMat-Bulk describes a geometry-optimized Mn2PbF7 structure. The functional is PBE with a Hubbard U.

Summary:
Space-group type   I4/mmm
DFT total energy   -55.1 eV per cell
Magnetization   9.0 μB per cell

Cell lengths 9.465, 9.465, 9.465 Å; angles 157.60, 157.60, 31.89 degrees
Positions (direct):
Mn: 0.172 0.172 0.000
Mn: 0.828 0.828 0.000
Pb: 0.500 0.500 0.000
F: 0.000 0.000 0.000
F: 0.115 0.615 0.500
F: 0.250 0.750 0.500
F: 0.385 0.885 0.500
F: 0.615 0.115 0.500
F: 0.750 0.250 0.500
F: 0.885 0.385 0.500

No. 2
This record from Alexandria via LeMat-Bulk describes a geometry-optimized MnPb2F structure. The functional is PBE with a Hubbard U.

Summary:
Space-group type   Fm-3m
DFT total energy   -18.1 eV per cell
Magnetization   4.3 μB per cell

Cell lengths 5.009, 5.009, 5.009 Å; angles 60.00, 60.00, 60.00 degrees
Positions (direct):
Mn: 0.000 0.000 0.000
Pb: 0.250 0.250 0.250
Pb: 0.750 0.750 0.750
F: 0.500 0.500 0.500

No. 3
This record from Alexandria via LeMat-Bulk describes a geometry-optimized MnPb2F6 structure. The functional is PBE with a Hubbard U.

Summary:
Space-group type   P4_2/mnm
DFT total energy   -96.4 eV per cell
Magnetization   10.0 μB per cell

Cell lengths 5.437, 5.437, 11.176 Å; angles 90.00, 90.00, 90.00 degrees
Positions (direct):
Mn: 0.000 0.000 0.000
Mn: 0.500 0.500 0.500
Pb: 0.000 0.000 0.335
Pb: 0.000 0.000 0.665
Pb: 0.500 0.500 0.165
Pb: 0.500 0.500 0.835
F: 0.181 0.181 0.149
F: 0.181 0.181 0.851
F: 0.219 0.219 0.500
F: 0.281 0.719 0.000
F: 0.319 0.681 0.351
F: 0.319 0.681 0.649
F: 0.681 0.319 0.351
F: 0.681 0.319 0.649
F: 0.719 0.281 0.000
F: 0.781 0.781 0.500
F: 0.819 0.819 0.149
F: 0.819 0.819 0.851

No. 4
This record from Alexandria via LeMat-Bulk describes a geometry-optimized MnPbF4 structure. The functional is PBE with a Hubbard U.

Summary:
Space-group type   I4_1/a
DFT total energy   -67.5 eV per cell
Magnetization   10.0 μB per cell

Cell lengths 7.141, 7.141, 7.141 Å; angles 132.99, 132.99, 68.67 degrees
Positions (direct):
Mn: 0.375 0.125 0.250
Mn: 0.625 0.875 0.750
Pb: 0.125 0.375 0.750
Pb: 0.875 0.625 0.250
F: 0.093 0.274 0.304
F: 0.226 0.030 0.819
F: 0.289 0.593 0.319
F: 0.470 0.789 0.196
F: 0.530 0.211 0.804
F: 0.711 0.407 0.681
F: 0.774 0.970 0.181
F: 0.907 0.726 0.696

No. 5
This record from Alexandria via LeMat-Bulk describes a geometry-optimized MnPb2F8 structure. The functional is PBE with a Hubbard U.

Summary:
Space-group type   C2/m
DFT total energy   -53.8 eV per cell
Magnetization   3.6 μB per cell

Cell lengths 7.382, 7.382, 5.184 Å; angles 108.18, 108.18, 33.95 degrees
Positions (direct):
Mn: 0.000 0.000 0.000
Pb: 0.348 0.348 0.371
Pb: 0.652 0.652 0.629
F: 0.094 0.094 0.360
F: 0.115 0.115 0.890
F: 0.275 0.275 0.725
F: 0.498 0.498 0.241
F: 0.502 0.502 0.759
F: 0.725 0.725 0.275
F: 0.885 0.885 0.110
F: 0.906 0.906 0.640

No. 6
This record from Alexandria via LeMat-Bulk describes a geometry-optimized Mn2PbF6 structure. The functional is PBE with a Hubbard U.

Summary:
Space-group type   C2/m
DFT total energy   -53.1 eV per cell
Magnetization   10.0 μB per cell

Cell lengths 5.774, 5.774, 7.646 Å; angles 115.94, 115.94, 42.11 degrees
Positions (direct):
Mn: 0.174 0.174 0.101
Mn: 0.826 0.826 0.899
Pb: 0.000 0.000 0.500
F: 0.014 0.014 0.185
F: 0.285 0.285 0.914
F: 0.347 0.347 0.385
F: 0.653 0.653 0.615
F: 0.715 0.715 0.086
F: 0.986 0.986 0.815

No. 7
This record from Alexandria via LeMat-Bulk describes a geometry-optimized MnPb2F structure. The functional is PBE with a Hubbard U.

Summary:
Space-group type   I-42d
DFT total energy   -35.6 eV per cell
Magnetization   9.7 μB per cell

Cell lengths 8.927, 8.927, 8.927 Å; angles 145.39, 145.39, 49.76 degrees
Positions (direct):
Mn: 0.000 0.000 0.000
Mn: 0.750 0.250 0.500
Pb: 0.211 0.625 0.086
Pb: 0.375 0.461 0.586
Pb: 0.539 0.125 0.914
Pb: 0.875 0.789 0.414
F: 0.250 0.750 0.500
F: 0.500 0.500 0.000

No. 8
This record from Alexandria via LeMat-Bulk describes a geometry-optimized MnPb2F6 structure. The functional is PBE with a Hubbard U.

Summary:
Space-group type   P2_1/c
DFT total energy   -96.4 eV per cell
Magnetization   10.0 μB per cell

Cell lengths 6.027, 6.723, 9.539 Å; angles 90.00, 123.71, 90.00 degrees
Positions (direct):
Mn: 0.000 0.000 0.000
Mn: 0.000 0.500 0.500
Pb: 0.255 0.083 0.740
Pb: 0.255 0.417 0.240
Pb: 0.745 0.583 0.760
Pb: 0.745 0.917 0.260
F: 0.083 0.061 0.243
F: 0.083 0.439 0.743
F: 0.158 0.699 0.057
F: 0.158 0.801 0.557
F: 0.362 0.128 0.057
F: 0.362 0.372 0.557
F: 0.638 0.628 0.443
F: 0.638 0.872 0.943
F: 0.842 0.199 0.443
F: 0.842 0.301 0.943
F: 0.917 0.561 0.257
F: 0.917 0.939 0.757

No. 9
This record from Alexandria via LeMat-Bulk describes a geometry-optimized Rb2MnPbF6 structure. The functional is PBE with a Hubbard U.

Summary:
Space-group type   Fm-3m
DFT total energy   -50.7 eV per cell
Magnetization   5.0 μB per cell

Cell lengths 6.467, 6.467, 6.467 Å; angles 60.00, 60.00, 60.00 degrees
Positions (direct):
Rb: 0.250 0.250 0.250
Rb: 0.750 0.750 0.750
Mn: 0.000 0.000 0.000
Pb: 0.500 0.500 0.500
F: 0.234 0.234 0.766
F: 0.234 0.766 0.234
F: 0.234 0.766 0.766
F: 0.766 0.234 0.234
F: 0.766 0.234 0.766
F: 0.766 0.766 0.234

No. 10
This record from Alexandria via LeMat-Bulk describes a geometry-optimized RbMnPb2F8 structure. The functional is PBE with a Hubbard U.

Summary:
Space-group type   P-1
DFT total energy   -60.4 eV per cell
Magnetization   4.0 μB per cell

Cell lengths 4.662, 5.823, 7.992 Å; angles 93.48, 97.57, 94.41 degrees
Positions (direct):
Rb: 0.000 0.000 0.000
Mn: 0.000 0.000 0.500
Pb: 0.447 0.481 0.746
Pb: 0.553 0.519 0.254
F: 0.042 0.705 0.296
F: 0.174 0.848 0.683
F: 0.340 0.193 0.488
F: 0.482 0.727 0.012
F: 0.518 0.273 0.988
F: 0.660 0.807 0.512
F: 0.826 0.152 0.317
F: 0.958 0.295 0.704

No. 11
This record from Alexandria via LeMat-Bulk describes a geometry-optimized MnPbSF2 structure. The functional is PBE with a Hubbard U.

Summary:
Space-group type   P4/mmm
DFT total energy   -27.6 eV per cell
Magnetization   5.0 μB per cell

Cell lengths 4.220, 4.220, 5.207 Å; angles 90.00, 90.00, 90.00 degrees
Positions (direct):
Mn: 0.000 0.000 0.000
Pb: 0.500 0.500 0.500
S: 0.000 0.000 0.500
F: 0.000 0.500 0.000
F: 0.500 0.000 0.000

No. 12
This record from Alexandria via LeMat-Bulk describes a geometry-optimized MnSnPbF6 structure. The functional is PBE with a Hubbard U.

Summary:
Space-group type   P4_2nm
DFT total energy   -96.2 eV per cell
Magnetization   10.0 μB per cell

Cell lengths 5.365, 5.365, 11.197 Å; angles 90.00, 90.00, 90.00 degrees
Positions (direct):
Mn: 0.000 0.000 0.000
Mn: 0.500 0.500 0.500
Sn: 0.000 0.000 0.662
Sn: 0.500 0.500 0.162
Pb: 0.000 0.000 0.333
Pb: 0.500 0.500 0.833
F: 0.181 0.181 0.853
F: 0.187 0.187 0.146
F: 0.210 0.210 0.506
F: 0.290 0.710 0.006
F: 0.313 0.687 0.646
F: 0.319 0.681 0.353
F: 0.681 0.319 0.353
F: 0.687 0.313 0.646
F: 0.710 0.290 0.006
F: 0.790 0.790 0.506
F: 0.813 0.813 0.146
F: 0.819 0.819 0.853

No. 13
This record from Alexandria via LeMat-Bulk describes a geometry-optimized SrMnPbF6 structure. The functional is PBE with a Hubbard U.

Summary:
Space-group type   P-31c
DFT total energy   -101.3 eV per cell
Magnetization   10.0 μB per cell

Cell lengths 6.083, 6.083, 9.946 Å; angles 90.00, 90.00, 120.00 degrees
Positions (direct):
Sr: 0.333 0.667 0.250
Sr: 0.667 0.333 0.750
Mn: 0.333 0.667 0.750
Mn: 0.667 0.333 0.250
Pb: 0.000 0.000 0.000
Pb: 0.000 0.000 0.500
F: 0.035 0.363 0.635
F: 0.035 0.672 0.865
F: 0.328 0.363 0.865
F: 0.328 0.965 0.635
F: 0.363 0.035 0.135
F: 0.363 0.328 0.365
F: 0.637 0.672 0.635
F: 0.637 0.965 0.865
F: 0.672 0.035 0.365
F: 0.672 0.637 0.135
F: 0.965 0.328 0.135
F: 0.965 0.637 0.365

No. 14
This record from Alexandria via LeMat-Bulk describes a geometry-optimized Mn2Tl3PbF9 structure. The functional is PBE with a Hubbard U.

Summary:
Space-group type   P-3m1
DFT total energy   -76.5 eV per cell
Magnetization   10.0 μB per cell

Cell lengths 6.254, 6.254, 8.033 Å; angles 90.00, 90.00, 120.00 degrees
Positions (direct):
Mn: 0.333 0.667 0.157
Mn: 0.667 0.333 0.843
Tl: 0.000 0.000 0.000
Tl: 0.333 0.667 0.712
Tl: 0.667 0.333 0.288
Pb: 0.000 0.000 0.500
F: 0.000 0.500 0.000
F: 0.172 0.344 0.303
F: 0.172 0.828 0.303
F: 0.344 0.172 0.697
F: 0.500 0.000 0.000
F: 0.500 0.500 0.000
F: 0.656 0.828 0.303
F: 0.828 0.172 0.697
F: 0.828 0.656 0.697

No. 15
This record from Alexandria via LeMat-Bulk describes a geometry-optimized Mn2TlPbF structure. The functional is PBE with a Hubbard U.

Summary:
Space-group type   P4/mmm
DFT total energy   -21.1 eV per cell
Magnetization   9.7 μB per cell

Cell lengths 5.451, 5.451, 6.453 Å; angles 90.00, 90.00, 90.00 degrees
Positions (direct):
Mn: 0.000 0.500 0.000
Mn: 0.500 0.000 0.000
Tl: 0.000 0.000 0.500
Pb: 0.000 0.000 0.000
F: 0.500 0.500 0.500

No. 16
This record from Alexandria via LeMat-Bulk describes a geometry-optimized MnVPbF6 structure. The functional is PBE with a Hubbard U.

Summary:
Space-group type   P-31c
DFT total energy   -106.1 eV per cell
Magnetization   16.0 μB per cell

Cell lengths 5.640, 5.640, 10.462 Å; angles 90.00, 90.00, 120.00 degrees
Positions (direct):
Mn: 0.333 0.667 0.250
Mn: 0.667 0.333 0.750
V: 0.333 0.667 0.750
V: 0.667 0.333 0.250
Pb: 0.000 0.000 0.000
Pb: 0.000 0.000 0.500
F: 0.003 0.359 0.642
F: 0.003 0.644 0.858
F: 0.356 0.359 0.858
F: 0.356 0.997 0.642
F: 0.359 0.003 0.142
F: 0.359 0.356 0.358
F: 0.641 0.644 0.642
F: 0.641 0.997 0.858
F: 0.644 0.003 0.358
F: 0.644 0.641 0.142
F: 0.997 0.356 0.142
F: 0.997 0.641 0.358

No. 17
This record from Alexandria via LeMat-Bulk describes a geometry-optimized Mn2VPbF structure. The functional is PBE with a Hubbard U.

Summary:
Space-group type   P4/mmm
DFT total energy   -28.4 eV per cell
Magnetization   6.1 μB per cell

Cell lengths 4.780, 4.780, 4.262 Å; angles 90.00, 90.00, 90.00 degrees
Positions (direct):
Mn: 0.000 0.500 0.000
Mn: 0.500 0.000 0.000
V: 0.000 0.000 0.500
Pb: 0.500 0.500 0.500
F: 0.000 0.000 0.000

No. 18
This record from Alexandria via LeMat-Bulk describes a geometry-optimized MnPdF3 structure. The functional is PBE with a Hubbard U.

Summary:
Space-group type   Pm-3m
DFT total energy   -23.5 eV per cell
Magnetization   5.7 μB per cell

Cell lengths 4.306, 4.306, 4.306 Å; angles 90.00, 90.00, 90.00 degrees
Positions (direct):
Mn: 0.000 0.000 0.000
Pd: 0.500 0.500 0.500
F: 0.000 0.500 0.500
F: 0.500 0.000 0.500
F: 0.500 0.500 0.000

No. 19
This record from Alexandria via LeMat-Bulk describes a geometry-optimized Mn3PdF structure. The functional is PBE with a Hubbard U.

Summary:
Space-group type   Pm-3m
DFT total energy   -30.9 eV per cell
Magnetization   14.3 μB per cell

Cell lengths 4.388, 4.388, 4.388 Å; angles 90.00, 90.00, 90.00 degrees
Positions (direct):
Mn: 0.000 0.000 0.500
Mn: 0.000 0.500 0.000
Mn: 0.500 0.000 0.000
Pd: 0.500 0.500 0.500
F: 0.000 0.000 0.000

No. 20
This record from Alexandria via LeMat-Bulk describes a geometry-optimized MnPdF3 structure. The functional is PBE with a Hubbard U.

Summary:
Space-group type   Pm-3m
DFT total energy   -26.0 eV per cell
Magnetization   4.8 μB per cell

Cell lengths 4.143, 4.143, 4.143 Å; angles 90.00, 90.00, 90.00 degrees
Positions (direct):
Mn: 0.000 0.000 0.000
Pd: 0.500 0.500 0.500
F: 0.000 0.000 0.500
F: 0.000 0.500 0.000
F: 0.500 0.000 0.000